Compound: USnRu
Source: Alexandria
Functional: PBEsol
Structure: relaxed

Structure (CIF):
```
data_USnRu
_chemical_formula_sum 'U3 Sn3 Ru3'
_symmetry_space_group_name_H-M 'P -6 2 m'
_symmetry_Int_Tables_number 189
_symmetry_space_group_name_Hall 'P -6 -2'
_cell_length_a 7.2151
_cell_length_b 7.2151
_cell_length_c 3.9427
_cell_angle_alpha 90.00
_cell_angle_beta 90.00
_cell_angle_gamma 120.00
loop_
_atom_site_label
_atom_site_type_symbol
_atom_site_fract_x
_atom_site_fract_y
_atom_site_fract_z
U1 U 0.0000 0.4141 0.0000
Sn1 Sn 0.0000 0.7464 0.5000
Ru1 Ru 0.0000 0.0000 0.0000
Ru2 Ru 0.3333 0.6667 0.5000
```

Results
**Density**: 12.8 g cm⁻³
**Energy of formation from the pure elements**: -0.174 eV per atom
**N(E_F)**: 1.80 states/eV/atom